1.
ThCd12Au6 | PBE | relaxed

Calculated values
The calculation puts the formation energy at -0.10 eV per atom. The calculation puts the total magnetization at 0.0 Bohr magnetons per cell. The value obtained for the total energy is -2.105 eV/atom. The calculated volume is 22.65 Å³ per atom.

Cell: 7.918 7.918 7.918 Å, 105.38 105.38 105.38°
Sites, in units of the cell vectors:
Th1 0.000 0.000 0.000
Cd1 0.112 0.500 0.888
Cd2 0.112 0.888 0.500
Cd3 0.141 0.387 0.387
Cd4 0.387 0.141 0.387
Cd5 0.387 0.387 0.141
Cd6 0.500 0.112 0.888
Cd7 0.500 0.888 0.112
Cd8 0.613 0.613 0.859
Cd9 0.613 0.859 0.613
Cd10 0.859 0.613 0.613
Cd11 0.888 0.112 0.500
Cd12 0.888 0.500 0.112
Au1 0.285 0.285 0.711
Au2 0.285 0.711 0.285
Au3 0.289 0.715 0.715
Au4 0.711 0.285 0.285
Au5 0.715 0.289 0.715
Au6 0.715 0.715 0.289

***

2.
Ac2Be3SnPt4 | PBE | relaxed

Calculated values
The calculation puts the formation energy at -0.78 eV per atom. The calculation puts the total magnetization at 0.0 Bohr magnetons per cell. The value obtained for the total energy is -5.531 eV/atom. The calculated volume is 19.15 Å³ per atom.

Cell: 4.302 4.302 10.348 Å, 90.00 90.00 90.00°
Sites, in units of the cell vectors:
Ac1 0.000 0.500 0.235
Ac2 0.500 0.000 0.765
Be1 0.000 0.500 0.896
Be2 0.500 0.000 0.104
Be3 0.500 0.500 0.500
Sn1 0.000 0.000 0.500
Pt1 0.000 0.000 0.000
Pt2 0.000 0.500 0.653
Pt3 0.500 0.000 0.347
Pt4 0.500 0.500 0.000

***

3.
LaTbFe4 | PBE | relaxed

Calculated values
The calculation puts the formation energy at 0.02 eV per atom. The calculation puts the total magnetization at 7.8 Bohr magnetons per cell. The value obtained for the total energy is -7.211 eV/atom. The calculated volume is 16.82 Å³ per atom.

Cell: 5.226 5.226 5.226 Å, 60.00 60.00 60.00°
Sites, in units of the cell vectors:
La1 0.000 0.000 0.000
Tb1 0.250 0.250 0.250
Fe1 0.126 0.625 0.625
Fe2 0.625 0.126 0.625
Fe3 0.625 0.625 0.126
Fe4 0.625 0.625 0.625

***

4.
Fe3PAu | PBE | relaxed

Calculated values
The calculation puts the formation energy at 1.48 eV per atom. The calculation puts the total magnetization at 10.0 Bohr magnetons per cell. The value obtained for the total energy is -5.333 eV/atom. The calculated volume is 21.08 Å³ per atom.

Cell: 4.723 4.723 4.723 Å, 90.00 90.00 90.00°
Sites, in units of the cell vectors:
Fe1 0.000 0.000 0.500
Fe2 0.000 0.500 0.000
Fe3 0.500 0.000 0.000
P1 0.500 0.500 0.500
Au1 0.000 0.000 0.000

***

5.
CdCuBr2 | PBE | relaxed

Calculated values
The calculation puts the total magnetization at 0.0 Bohr magnetons per cell. The value obtained for the total energy is -2.247 eV/atom. The value obtained for the raw formation energy is -61 kJ/mol of formula units. The calculated volume is 28.31 Å³ per atom.

Cell: 3.766 7.388 8.142 Å, 90.00 90.00 90.00°
Sites, in units of the cell vectors:
Cd1 0.000 0.000 0.000
Cd2 0.500 0.500 0.500
Cu1 0.000 0.000 0.500
Cu2 0.500 0.500 0.000
Br1 0.000 0.500 0.207
Br2 0.000 0.500 0.793
Br3 0.500 0.000 0.293
Br4 0.500 0.000 0.707

***

6.
PmTlF4 | PBE | relaxed

Calculated values
The calculation puts the total magnetization at 0.0 Bohr magnetons per cell. The value obtained for the total energy is -5.726 eV/atom. The value obtained for the raw formation energy is -1906 kJ/mol of formula units. The calculated volume is 17.71 Å³ per atom.

Cell: 7.077 7.077 7.077 Å, 128.25 128.25 76.23°
Sites, in units of the cell vectors:
Pm1 0.375 0.625 0.750
Pm2 0.625 0.375 0.250
Tl1 0.125 0.875 0.250
Tl2 0.875 0.125 0.750
F1 0.000 0.301 0.301
F2 0.000 0.699 0.699
F3 0.301 0.000 0.801
F4 0.301 0.500 0.301
F5 0.500 0.301 0.801
F6 0.500 0.699 0.199
F7 0.699 0.000 0.199
F8 0.699 0.500 0.699

***

7.
InHF3 | PBE | relaxed

Calculated values
The calculation puts the total magnetization at 0.0 Bohr magnetons per cell. The value obtained for the total energy is -3.876 eV/atom. The calculated volume is 13.03 Å³ per atom.

Cell: 6.534 6.534 7.679 Å, 107.66 107.66 24.71°
Sites, in units of the cell vectors:
In1 0.093 0.093 0.443
In2 0.907 0.907 0.557
H1 0.357 0.357 0.066
H2 0.643 0.643 0.934
F1 0.141 0.141 0.921
F2 0.291 0.291 0.387
F3 0.415 0.415 0.766
F4 0.585 0.585 0.234
F5 0.709 0.709 0.613
F6 0.859 0.859 0.079

***

8.
K2Rb5Hg4 | PBE | relaxed

Calculated values
The calculation puts the formation energy at -0.11 eV per atom. The calculation puts the total magnetization at 0.0 Bohr magnetons per cell. The value obtained for the total energy is -0.857 eV/atom. The calculated volume is 56.59 Å³ per atom.

Cell: 9.300 9.300 9.635 Å, 107.08 107.08 52.23°
Sites, in units of the cell vectors:
K1 0.246 0.246 0.118
K2 0.754 0.754 0.882
Rb1 0.133 0.643 0.562
Rb2 0.357 0.867 0.438
Rb3 0.500 0.500 0.000
Rb4 0.643 0.133 0.562
Rb5 0.867 0.357 0.438
Hg1 0.085 0.085 0.759
Hg2 0.266 0.266 0.753
Hg3 0.734 0.734 0.247
Hg4 0.915 0.915 0.241

***

9.
Th5PaP6 | PBE | relaxed

Calculated values
The calculation puts the formation energy at -1.51 eV per atom. The calculation puts the total magnetization at 0.0 Bohr magnetons per cell. The value obtained for the total energy is -8.094 eV/atom. The calculated volume is 24.60 Å³ per atom.

Cell: 7.124 7.124 7.123 Å, 99.61 99.61 119.99°
Sites, in units of the cell vectors:
Th1 0.000 0.000 0.000
Th2 0.166 0.834 0.500
Th3 0.330 0.670 0.000
Th4 0.670 0.330 0.000
Th5 0.834 0.166 0.500
Pa1 0.500 0.500 0.500
P1 0.094 0.419 0.256
P2 0.257 0.257 0.747
P3 0.419 0.094 0.256
P4 0.581 0.906 0.744
P5 0.743 0.743 0.253
P6 0.906 0.581 0.744

***

10.
La2BeIrPb | PBE | relaxed

Calculated values
The calculation puts the formation energy at -0.42 eV per atom. The calculation puts the total magnetization at 0.0 Bohr magnetons per cell. The value obtained for the total energy is -5.654 eV/atom. The calculated volume is 27.75 Å³ per atom.

Cell: 5.592 5.592 4.437 Å, 90.00 90.00 90.00°
Sites, in units of the cell vectors:
La1 0.000 0.500 0.000
La2 0.500 0.000 0.000
Be1 0.000 0.000 0.500
Ir1 0.000 0.000 0.000
Pb1 0.500 0.500 0.500

***

11.
Yb2MgS4 | PBE | relaxed

Calculated values
The calculation puts the total magnetization at 3.4 Bohr magnetons per cell. The value obtained for the total energy is -4.495 eV/atom. The value obtained for the raw formation energy is -995 kJ/mol of formula units. The calculated volume is 22.68 Å³ per atom.

Cell: 12.787 3.816 13.014 Å, 90.00 90.00 90.00°
Sites, in units of the cell vectors:
Yb1 0.118 0.250 0.074
Yb2 0.135 0.250 0.706
Yb3 0.365 0.750 0.206
Yb4 0.382 0.750 0.574
Yb5 0.618 0.250 0.426
Yb6 0.635 0.250 0.794
Yb7 0.865 0.750 0.294
Yb8 0.882 0.750 0.926
Mg1 0.113 0.750 0.448
Mg2 0.387 0.250 0.948
Mg3 0.613 0.750 0.052
Mg4 0.887 0.250 0.552
S1 0.008 0.750 0.617
S2 0.026 0.250 0.884
S3 0.226 0.250 0.255
S4 0.237 0.250 0.514
S5 0.263 0.750 0.014
S6 0.274 0.750 0.755
S7 0.474 0.750 0.384
S8 0.492 0.250 0.117
S9 0.508 0.750 0.883
S10 0.526 0.250 0.616
S11 0.726 0.250 0.245
S12 0.737 0.250 0.986
S13 0.763 0.750 0.486
S14 0.774 0.750 0.745
S15 0.974 0.750 0.116
S16 0.992 0.250 0.383

***

12.
PmPrSm2Er2 | PBE | relaxed

Calculated values
The calculation puts the formation energy at 0.27 eV per atom. The calculation puts the total magnetization at 0.0 Bohr magnetons per cell. The value obtained for the total energy is -4.415 eV/atom. The calculated volume is 34.11 Å³ per atom.

Cell: 6.572 18.197 3.423 Å, 90.00 90.00 90.00°
Sites, in units of the cell vectors:
Pm1 0.000 0.000 0.000
Pm2 0.500 0.500 0.500
Pr1 0.000 0.500 0.000
Pr2 0.500 0.000 0.500
Sm1 0.219 0.311 0.000
Sm2 0.281 0.811 0.500
Sm3 0.719 0.189 0.500
Sm4 0.781 0.689 0.000
Er1 0.217 0.147 0.500
Er2 0.283 0.647 0.000
Er3 0.717 0.353 0.000
Er4 0.783 0.853 0.500